The following is a DFT calculation (PBE) of a relaxed LiAcCu4 crystal.

Calculated values
Space group   F-43m (216)
Energy above the most stable polymorph in this dataset   0.0000 eV/atom
ΔH_f (0 K)   -0.5 eV/f.u.
Spin magnetization   0.00 μB/cell

Lattice parameters (Å, degrees): 5.2661 5.2661 5.2661 60.00 60.00 60.00
Last column: nearest neighbours and their distance in Å.
Atoms (fractional coordinates):
Li: 0.0000 0.0000 0.0000  12 Cu 3.08, 4 Ac 3.22
Ac: 0.2500 0.2500 0.2500  12 Cu 3.10, 4 Li 3.22
Cu: 0.1148 0.6284 0.6284  6 Cu 2.56-2.70
Cu: 0.6284 0.1148 0.6284  6 Cu 2.56-2.70
Cu: 0.6284 0.6284 0.1148  6 Cu 2.56-2.70
Cu: 0.6284 0.6284 0.6284  6 Cu 2.56-2.70